Record 1
Below is Ag2Cl3 after structural relaxation, with properties calculated at the PBE-GGA level.

Unit cell a=7.2280 b=7.2280 c=7.2280 alpha=55.09 beta=55.09 gamma=55.09
With the nearest neighbours (Å) after each atom.
Fractional positions:
Ag1 0.1574 0.1574 0.1574  6 Cl 2.66-2.72
Ag2 0.3426 0.3426 0.3426  6 Cl 2.66-2.72
Ag3 0.6574 0.6574 0.6574  6 Cl 2.66-2.72
Ag4 0.8426 0.8426 0.8426  6 Cl 2.66-2.72
Cl1 0.0678 0.7500 0.4322  4 Ag 2.66-2.72
Cl2 0.2500 0.5678 0.9322  4 Ag 2.66-2.72
Cl3 0.4322 0.0678 0.7500  4 Ag 2.66-2.72
Cl4 0.5678 0.9322 0.2500  4 Ag 2.66-2.72
Cl5 0.7500 0.4322 0.0678  4 Ag 2.66-2.72
Cl6 0.9322 0.2500 0.5678  4 Ag 2.66-2.72

Results
ΔE_f (raw) ... -372 meV per atom
Symmetry ... R-3c (167)
DFT total energy ... -26.2 eV/cell

***

Record 2
Below is Sc4AlZn2Hg after structural relaxation, with properties calculated at the PBE-GGA level.

Unit cell a=8.3550 b=8.3550 c=8.3550 alpha=33.48 beta=33.48 gamma=33.48
With the nearest neighbours (Å) after each atom.
Fractional positions:
Sc1 0.1234 0.1234 0.1234  1 Al 2.92, 4 Zn 2.95-3.05, 3 Hg 2.96
Sc2 0.3736 0.3736 0.3736  4 Zn 2.87-2.94, 3 Al 2.94, 1 Hg 2.99
Sc3 0.6264 0.6264 0.6264  4 Zn 2.87-2.94, 3 Al 2.94, 1 Hg 2.99
Sc4 0.8766 0.8766 0.8766  1 Al 2.92, 4 Zn 2.95-3.05, 3 Hg 2.96
Al1 0.0000 0.0000 0.0000  8 Sc 2.92-2.94
Zn1 0.2522 0.2522 0.2522  8 Sc 2.87-3.05
Zn2 0.7478 0.7478 0.7478  8 Sc 2.87-3.05
Hg1 0.5000 0.5000 0.5000  8 Sc 2.96-2.99

Results
Formation enthalpy at 0 K ... -0.41 eV per atom
Symmetry ... R-3m (166)
DFT total energy ... -35.2 eV/cell

***

Record 3
Below is Si2IrSe after structural relaxation, with properties calculated at the PBE-GGA level.

Unit cell a=4.4133 b=4.4133 c=4.3947 alpha=109.40 beta=109.40 gamma=109.27
With the nearest neighbours (Å) after each atom.
Fractional positions:
Si1 0.0000 0.5000 0.0000  2 Se 2.54, 2 Ir 2.54, 2 Si 2.55
Si2 0.5000 0.0000 0.0000  2 Se 2.54, 2 Ir 2.54, 2 Si 2.55
Ir1 0.0000 0.0000 0.5000  4 Si 2.54, 2 Se 2.55
Se1 0.5000 0.5000 0.5000  4 Si 2.54, 2 Ir 2.55

Results
ΔE_f (raw) ... 133 meV per atom
Symmetry ... C2/m (12)
DFT total energy ... -22.7 eV/cell

***

Record 4
Below is Nd12AlGa5 after structural relaxation, with properties calculated at the PBE-GGA level.

Unit cell a=8.8687 b=8.8687 c=8.8687 alpha=111.74 beta=111.05 gamma=105.68
With the nearest neighbours (Å) after each atom.
Fractional positions:
Nd1 0.0475 0.2441 0.8034  3 Ga 3.06-3.37, 1 Al 3.38
Nd2 0.1778 0.2719 0.4497  4 Ga 3.16-3.24
Nd3 0.1778 0.7281 0.9059  4 Ga 3.16-3.24
Nd4 0.3258 0.0343 0.7084  3 Ga 3.02-3.15
Nd5 0.3258 0.6174 0.2916  3 Ga 3.02-3.15
Nd6 0.4408 0.2441 0.1966  3 Ga 3.06-3.37, 1 Al 3.38
Nd7 0.5592 0.7559 0.8034  3 Ga 3.06-3.37, 1 Al 3.38
Nd8 0.6742 0.3826 0.7084  3 Ga 3.02-3.15
Nd9 0.6742 0.9657 0.2916  3 Ga 3.02-3.15
Nd10 0.8222 0.2719 0.0941  4 Ga 3.16-3.24
Nd11 0.8222 0.7281 0.5503  4 Ga 3.16-3.24
Nd12 0.9525 0.7559 0.1966  3 Ga 3.06-3.37, 1 Al 3.38
Al1 0.5000 0.5000 0.0000  8 Nd 3.38-3.45
Ga1 0.0000 0.0000 0.0000  8 Nd 3.24-3.28, 2 Ga 3.57
Ga2 0.1208 0.6208 0.5000  1 Ga 2.59
Ga3 0.3552 0.0000 0.3552  1 Ga 2.91, 8 Nd 3.06-3.24
Ga4 0.6448 0.0000 0.6448  1 Ga 2.91, 8 Nd 3.06-3.24
Ga5 0.8792 0.3792 0.5000  1 Ga 2.59

Results
Formation enthalpy at 0 K ... -0.35 eV per atom
Symmetry ... Immm (71)
DFT total energy ... -82.4 eV/cell

***

Record 5
Below is K2LiRh after structural relaxation, with properties calculated at the PBE-GGA level.

Unit cell a=3.1366 b=5.2055 c=6.9371 alpha=90.00 beta=90.87 gamma=90.00
With the nearest neighbours (Å) after each atom.
Fractional positions:
K1 0.0036 0.0000 0.2236  3 K 3.10-3.14, 4 Rh 3.41-3.42
K2 0.9964 0.0000 0.7764  3 K 3.10-3.14, 4 Rh 3.41-3.42
Li1 0.5000 0.5000 0.5000  2 Li 3.14, 2 Rh 3.47
Rh1 0.5000 0.5000 0.0000  2 Rh 3.14, 8 K 3.41-3.42, 2 Li 3.47

Results
Formation enthalpy at 0 K ... 0.60 eV per atom
Symmetry ... P2/m (10)
DFT total energy ... -9.1 eV/cell

***

Record 6
Below is UMnP2Ru5 after structural relaxation, with properties calculated at the PBE-GGA level.

Unit cell a=4.0500 b=4.0500 c=10.7754 alpha=90.00 beta=90.00 gamma=90.00
With the nearest neighbours (Å) after each atom.
Fractional positions:
U1 0.0000 0.0000 0.0000  12 Ru 2.83-2.86
Mn1 0.5000 0.5000 0.5000  2 P 2.29
P1 0.5000 0.5000 0.2874  1 Mn 2.29, 4 Ru 2.32
P2 0.5000 0.5000 0.7126  1 Mn 2.29, 4 Ru 2.32
Ru1 0.0000 0.5000 0.1830  2 P 2.32
Ru2 0.0000 0.5000 0.8170  2 P 2.32
Ru3 0.5000 0.0000 0.1830  2 P 2.32
Ru4 0.5000 0.0000 0.8170  2 P 2.32
Ru5 0.5000 0.5000 0.0000  8 Ru 2.83, 4 U 2.86, 2 P 3.10

Results
Formation enthalpy at 0 K ... -0.03 eV per atom
Symmetry ... P4/mmm (123)
DFT total energy ... -77.9 eV/cell

***

Record 7
Below is Pm4Cd3Pd after structural relaxation, with properties calculated at the PBE-GGA level.

Unit cell a=3.7686 b=3.7686 c=15.0991 alpha=90.00 beta=90.00 gamma=90.00
With the nearest neighbours (Å) after each atom.
Fractional positions:
Pm1 0.0000 0.0000 0.1113  4 Pd 3.15, 4 Cd 3.33, 1 Pm 3.36
Pm2 0.0000 0.0000 0.3708  8 Cd 3.28-3.30
Pm3 0.0000 0.0000 0.6292  8 Cd 3.28-3.30
Pm4 0.0000 0.0000 0.8887  4 Pd 3.15, 4 Cd 3.33, 1 Pm 3.36
Cd1 0.5000 0.5000 0.2437  8 Pm 3.28-3.33
Cd2 0.5000 0.5000 0.5000  8 Pm 3.30
Cd3 0.5000 0.5000 0.7563  8 Pm 3.28-3.33
Pd1 0.5000 0.5000 0.0000  8 Pm 3.15

Results
Formation enthalpy at 0 K ... -0.43 eV per atom
Symmetry ... P4/mmm (123)
DFT total energy ... -30.4 eV/cell

***

Record 8
Below is ZrFeTc after structural relaxation, with properties calculated at the PBE-GGA level.

Unit cell a=4.4254 b=4.4254 c=2.8486 alpha=90.00 beta=90.00 gamma=120.00
With the nearest neighbours (Å) after each atom.
Fractional positions:
Zr1 0.0000 0.0000 0.0000  3 Tc 2.74, 3 Fe 2.77, 2 Zr 2.85
Fe1 0.3333 0.6667 0.3765  3 Tc 2.67, 3 Zr 2.77, 2 Fe 2.85
Tc1 0.6667 0.3333 0.6545  3 Fe 2.67, 3 Zr 2.74, 2 Tc 2.85

Results
Formation enthalpy at 0 K ... 0.10 eV per atom
Symmetry ... P3m1 (156)
DFT total energy ... -27.1 eV/cell

***

Computed spin magnetization (μB/atom) in order:
0.00 0.00 0.00 0.00 0.18 0.48 0.02 0.83
Computed density of states at the Fermi level (states/eV per cell) in order:
13.89 6.71 2.90 19.58 2.29 8.28 7.43 3.77